Crystalline FeSb4O12 at its relaxed geometry, computed with PBE with a Hubbard U.

Output
**Space group**: P1, No. 1
**Energy**: -5.984 eV per atom
**DOS at the Fermi energy**: 11.5 states/eV/cell

a b c (Å): 5.172 5.485 7.580
angles (deg): 85.35 89.90 89.65
Each line ends with the local moment (μB).
Sites, in units of the cell vectors:
O  0.859  0.027  0.265  0.07
O  0.175  0.349  0.475  0.09
O  0.718  0.239  0.585  0.11
O  0.332  0.852  0.447  0.02
O  0.820  0.706  0.590  0.08
O  0.178  0.700  0.077  0.11
O  0.106  0.058  0.764  0.15
O  0.816  0.343  0.944  0.10
O  0.360  0.535  0.758  0.10
O  0.314  0.207  0.076  0.23
O  0.637  0.520  0.257  0.13
O  0.681  0.840  0.946  0.21
Sb  0.996  0.012  0.024  -0.01
Sb  0.495  0.527  0.015  -0.01
Sb  0.008  0.013  0.501  0.00
Sb  0.502  0.533  0.497  0.00
Fe  0.003  0.421  0.719  4.30